## P
An optimized crystal structure of PrNdCuPt. Source: Alexandria via LeMat-Bulk, functional GGA-PBE.

* space-group type: Amm2 (38)
* magnetization: 0.0 μB per cell

```
4
Lattice="-2.456 2.861 1.194 -3.461 -2.106 -2.073 0.194 -4.223 3.965" Properties=species:S:1:pos:R:3 pbc="T T T"
Pr -0.287 -0.774 1.265
Cu -3.113 -0.041 0.244
Pt -0.876 -2.366 3.866
Nd -3.709 -1.648 2.871
```

=====

## Q
An optimized crystal structure of PrNdCuPt. Source: Alexandria via LeMat-Bulk, functional GGA-PBE.

* space-group type: F-43m (216)
* magnetization: 0.0 μB per cell

```
4
Lattice="5.117 0.000 0.000 2.558 4.431 0.000 2.558 1.477 4.178" Properties=species:S:1:pos:R:3 pbc="T T T"
Nd 5.117 2.954 2.089
Cu 2.558 1.477 1.044
Pr 0.000 0.000 0.000
Pt 7.675 4.431 3.133
```

=====

Which of them is the most stable? Correct choice: P.

=====

## P
An optimized crystal structure of PrNdCuRh. Source: Alexandria via LeMat-Bulk, functional GGA-PBE.

* space-group type: Amm2 (38)
* magnetization: 0.0 μB per cell

```
4
Lattice="3.962 0.000 0.000 0.000 4.480 0.000 -1.981 0.000 5.362" Properties=species:S:1:pos:R:3 pbc="T T T"
Pr 0.000 0.000 1.506
Nd 1.981 2.240 3.908
Rh 0.000 0.000 4.515
Cu 1.981 2.240 0.795
```

=====

## Q
An optimized crystal structure of PrNdCuRh. Source: Alexandria via LeMat-Bulk, functional GGA-PBE.

* space-group type: F-43m (216)
* magnetization: 0.0 μB per cell

```
4
Lattice="-2.337 2.354 3.830 -4.991 0.846 -0.214 -3.140 -2.583 3.023" Properties=species:S:1:pos:R:3 pbc="T T T"
Nd -5.234 0.308 3.319
Rh -7.851 0.463 4.979
Pr 0.000 0.000 0.000
Cu -2.617 0.154 1.660
```

=====

Which of them is the most stable? Correct choice: P.

=====

## P
An optimized crystal structure of Nd2Cu2Pt. Source: Alexandria via LeMat-Bulk, functional GGA-PBE.

* space-group type: C2/m (12)
* magnetization: 0.0 μB per cell

```
10
Lattice="-2.295 0.196 -3.484 -3.693 -4.345 -0.315 -7.911 5.844 3.037" Properties=species:S:1:pos:R:3 pbc="T T T"
Nd -3.755 -2.422 -0.166
Nd -10.144 4.117 -0.596
Nd -8.526 0.608 0.644
Nd -5.373 1.088 -1.406
Cu -5.839 1.960 1.453
Cu -11.664 1.603 0.264
Cu -2.234 0.092 -1.026
Cu -8.060 -0.265 -2.216
Pt -7.271 3.489 -0.021
Pt -6.628 -1.794 -0.742
```

=====

## Q
An optimized crystal structure of Nd2Cu2Pt. Source: Alexandria via LeMat-Bulk, functional GGA-PBE.

* space-group type: P4/mnc (128)
* magnetization: 0.0 μB per cell

```
20
Lattice="-2.105 2.623 6.448 -6.943 -1.281 -1.746 0.552 -7.266 3.136" Properties=species:S:1:pos:R:3 pbc="T T T"
Nd -1.939 0.596 1.722
Nd -7.109 0.746 2.980
Nd -5.130 -0.395 -0.011
Nd -3.642 -1.897 6.281
Nd -6.832 -2.887 4.548
Nd -4.853 -4.027 1.558
Nd -3.918 1.737 4.714
Nd -1.664 -3.037 3.291
Cu -1.718 -3.978 6.137
Cu -1.994 -0.345 4.569
Cu -6.502 -5.579 3.270
Cu -2.480 -5.624 2.457
Cu -6.016 -0.300 5.382
Cu -2.756 -1.991 0.889
Cu -5.740 -3.933 6.950
Cu -6.778 -1.946 1.701
Pt -4.386 -1.142 3.134
Pt 0.138 -1.820 0.786
Pt 0.414 -5.447 2.351
Pt -4.110 -4.782 4.705
```

=====

Which of them is the most stable? Correct choice: P.

=====

## P
An optimized crystal structure of NdCuPt4. Source: Alexandria via LeMat-Bulk, functional GGA-PBE.

* space-group type: F-43m (216)
* magnetization: 0.0 μB per cell

```
6
Lattice="5.371 0.000 0.000 2.686 4.652 0.000 2.686 1.551 4.386" Properties=species:S:1:pos:R:3 pbc="T T T"
Pt 6.722 3.881 2.744
Pt 5.371 1.542 2.744
Pt 4.021 3.881 2.744
Pt 5.371 3.101 0.539
Nd 2.686 1.551 1.096
Cu 0.000 0.000 0.000
```

=====

## Q
An optimized crystal structure of NdCuPt4. Source: Alexandria via LeMat-Bulk, functional GGA-PBE.

* space-group type: Cmcm (63)
* magnetization: 0.0 μB per cell

```
12
Lattice="-2.409 2.503 -1.709 -5.451 -3.176 3.032 1.829 3.553 7.010" Properties=species:S:1:pos:R:3 pbc="T T T"
Pt 0.107 2.938 4.151
Pt -4.007 1.183 2.996
Pt -3.994 -1.652 3.210
Pt -2.038 4.531 5.123
Pt -3.930 -0.337 0.661
Pt -1.205 1.251 -0.855
Pt -6.139 -0.059 4.182
Pt -2.024 1.696 5.337
Cu -2.245 2.940 3.084
Cu -3.787 -0.061 5.249
Nd -1.226 0.261 2.110
Nd -4.806 2.618 6.223
```

=====

Which of them is the most stable? Correct choice: P.